Record 1
Entry from Alexandria: an optimized crystal structure of TmZr3N (GGA-PBE).

```
TmZr3N
1.0
6.612 0.000 0.000
0.000 5.903 0.000
0.000 0.000 5.267
Tm Zr N
2 6 2
Cartesian
0.000 0.959 0.000
3.306 4.944 2.634
0.000 4.838 2.612
1.644 3.769 5.211
1.662 2.133 2.577
3.306 1.065 5.245
4.950 2.133 2.577
4.968 3.769 5.211
0.000 2.980 1.297
3.306 2.922 3.931
```

Output
formation energy without anion corrections	-0.687	eV/atom
energy	-0.616	Ry per atom

***

Record 2
Entry from Alexandria: an optimized crystal structure of Dy6ScCd5 (GGA-PBE).

```
Dy6ScCd5
1.0
-2.615 3.835 7.941
2.615 -3.835 7.941
2.615 3.835 -7.941
Dy Sc Cd
6 1 5
Cartesian
2.615 1.904 -2.680
0.000 1.848 0.000
2.615 1.904 2.680
0.000 1.930 5.261
0.000 5.821 0.000
0.000 1.930 10.621
0.000 0.000 7.941
2.615 0.000 0.000
0.000 0.000 2.645
2.615 0.000 5.482
0.000 3.835 2.460
0.000 0.000 13.238
```

Output
E_form	-0.232	eV per atom
energy	-0.253	Ry per atom

***

Record 3
Entry from Alexandria: an optimized crystal structure of Re2SiPt (GGA-PBE).

```
Re2SiPt
1.0
2.853 0.000 0.000
0.000 4.319 0.000
0.000 0.000 9.574
Re Si Pt
4 2 2
Cartesian
0.000 0.000 2.011
0.000 0.000 7.563
1.427 2.160 2.776
1.427 2.160 6.799
0.000 2.160 4.787
1.427 0.000 0.000
0.000 2.160 0.000
1.427 0.000 4.787
```

Output
formation energy without anion corrections	-0.081	eV/atom
energy	-0.674	Ry per atom

***

Record 4
Entry from Alexandria: an optimized crystal structure of PrNd2Tl (GGA-PBE).

```
PrNd2Tl
1.0
7.988 0.000 0.000
0.000 7.988 0.000
0.000 0.000 7.988
Pr Nd Tl
4 8 4
Cartesian
0.000 0.000 0.000
0.000 3.994 3.994
3.994 0.000 3.994
3.994 3.994 0.000
0.000 0.000 3.994
0.000 3.994 0.000
1.997 1.997 1.997
1.997 5.991 5.991
3.994 0.000 0.000
3.994 3.994 3.994
5.991 1.997 5.991
5.991 5.991 1.997
1.997 1.997 5.991
1.997 5.991 1.997
5.991 1.997 1.997
5.991 5.991 5.991
```

Output
E_form	-0.056	eV per atom
energy	-0.311	Ry per atom

***

Record 5
Entry from Alexandria: an optimized crystal structure of SbTePd2 (GGA-PBE).

```
SbTePd2
1.0
4.749 0.000 0.000
0.000 4.749 0.000
0.000 0.000 16.536
Sb Te Pd
4 4 8
Cartesian
0.000 0.000 0.000
0.000 2.375 4.134
2.375 0.000 12.402
2.375 2.375 8.268
0.000 0.000 8.268
0.000 2.375 12.402
2.375 0.000 4.134
2.375 2.375 0.000
1.077 1.187 2.067
1.187 3.452 6.201
1.187 3.672 14.469
1.297 1.187 10.335
3.452 3.562 10.335
3.562 1.077 14.469
3.562 1.297 6.201
3.672 3.562 2.067
```

Output
formation energy without anion corrections	-0.178	eV/atom
energy	-0.337	Ry per atom

***

Record 6
Entry from Alexandria: an optimized crystal structure of LiMgPb3 (GGA-PBE).

```
LiMgPb3
1.0
5.222 0.000 0.000
0.000 5.222 0.000
0.000 0.000 5.222
Li Mg Pb
1 1 3
Cartesian
0.000 0.000 0.000
2.611 2.611 2.611
0.000 0.000 2.611
0.000 2.611 0.000
2.611 0.000 0.000
```

Output
E_form	0.142	eV per atom
energy	-0.205	Ry per atom

***

Record 7
Entry from Alexandria: an optimized crystal structure of HfZnO2 (GGA-PBE).

```
HfZnO2
1.0
3.194 0.000 0.000
-1.597 2.766 0.000
0.000 0.000 18.378
Hf Zn O
3 3 6
Cartesian
0.000 0.000 0.000
0.000 1.844 12.252
1.597 0.922 6.126
0.000 0.000 9.189
0.000 1.844 3.063
1.597 0.922 15.315
0.000 0.000 1.971
0.000 0.000 16.406
0.000 1.844 10.280
0.000 1.844 14.223
1.597 0.922 4.155
1.597 0.922 8.097
```

Output
formation energy without anion corrections	-1.603	eV/atom
energy	-0.506	Ry per atom

***

Record 8
Entry from Alexandria: an optimized crystal structure of Li2NdAg (GGA-PBE).

```
Li2NdAg
1.0
3.256 0.000 0.000
-1.628 2.820 0.000
0.000 0.000 29.870
Li Nd Ag
6 3 3
Cartesian
0.000 0.000 0.000
0.000 0.000 5.828
0.000 1.880 19.913
0.000 1.880 25.742
1.628 0.940 9.957
1.628 0.940 15.785
0.000 0.000 22.845
0.000 1.880 12.889
1.628 0.940 2.932
0.000 0.000 17.840
0.000 1.880 7.883
1.628 0.940 27.797
```

Output
E_form	0.064	eV per atom
energy	-0.206	Ry per atom

***

Record 9
Entry from Alexandria: an optimized crystal structure of YTmIrOs (GGA-PBE).

```
YTmIrOs
1.0
6.790 0.000 0.000
0.000 6.790 0.000
0.000 0.000 6.790
Y Tm Ir Os
4 4 4 4
Cartesian
0.000 0.000 0.000
0.000 3.395 3.395
3.395 0.000 3.395
3.395 3.395 0.000
0.000 0.000 3.395
0.000 3.395 0.000
3.395 0.000 0.000
3.395 3.395 3.395
1.697 1.697 5.092
1.697 5.092 1.697
5.092 1.697 1.697
5.092 5.092 5.092
1.697 1.697 1.697
1.697 5.092 5.092
5.092 1.697 5.092
5.092 5.092 1.697
```

Output
E_form	-0.476	eV per atom
energy	-0.605	Ry per atom

***

Record 10
Entry from Alexandria: an optimized crystal structure of CaCoTe2N (GGA-PBE).

```
CaCoTe2N
1.0
5.504 0.000 0.000
0.000 5.504 0.000
0.000 0.000 3.486
Ca Co Te N
1 1 2 1
Cartesian
0.000 0.000 0.000
2.752 2.752 1.743
0.000 2.752 1.743
2.752 0.000 1.743
2.752 2.752 0.000
```

Output
formation energy without anion corrections	-0.262	eV/atom
energy	-0.368	Ry per atom

***

Record 11
Entry from Alexandria: an optimized crystal structure of Rb2AuCl (GGA-PBE).

```
Rb2AuCl
1.0
4.718 0.000 0.000
-2.359 4.086 0.000
0.000 0.000 25.448
Rb Au Cl
6 3 3
Cartesian
0.000 0.000 0.000
0.000 0.000 4.030
0.000 2.724 16.965
0.000 2.724 20.995
2.359 1.362 8.483
2.359 1.362 12.513
0.000 0.000 14.749
0.000 2.724 6.266
2.359 1.362 23.231
0.000 0.000 10.487
0.000 2.724 2.005
2.359 1.362 18.970
```

Output
formation energy without anion corrections	-1.071	eV/atom
energy	-0.208	Ry per atom

***

Record 12
Entry from Alexandria: an optimized crystal structure of La6Co2CI3 (GGA-PBE).

```
La6Co2CI3
1.0
3.507 -6.246 0.000
3.507 6.246 0.000
-2.183 0.000 8.101
La Co C I
6 2 1 3
Cartesian
1.244 1.985 1.397
-0.054 0.000 6.609
1.244 -1.985 1.397
3.586 1.985 6.703
4.884 0.000 1.492
3.586 -1.985 6.703
3.507 2.033 0.000
3.507 -2.033 0.000
0.000 0.000 0.000
2.415 4.104 4.050
2.415 0.000 4.050
2.415 -4.104 4.050
```

Output
formation energy without anion corrections	-0.667	eV/atom
energy	-0.402	Ry per atom